# MnTl4S4

A relaxed structure of MnTl4S4 (GGA-PBE, Alexandria via LeMat-Bulk).

```
data_MnTl4S4
_chemical_formula_sum 'Mn1 Tl4 S4'
_cell_length_a 7.478
_cell_length_b 7.478
_cell_length_c 7.510
_cell_angle_alpha 119.86
_cell_angle_beta 119.86
_cell_angle_gamma 90.00
_space_group_name_H-M_alt 'P 1'
_space_group_IT_number 1
loop_
_space_group_symop_operation_xyz
'x,y,z'
loop_
_atom_site_label
_atom_site_fract_x
_atom_site_fract_y
_atom_site_fract_z
Mn1 0.000 0.000 0.000
Tl1 0.500 0.000 0.000
Tl2 0.000 0.500 0.000
Tl3 0.323 0.323 0.646
Tl4 0.677 0.677 0.354
S1 0.712 0.712 0.774
S2 0.288 0.938 0.226
S3 0.062 0.062 0.774
S4 0.938 0.288 0.226
```

Results
ΔE_f (raw)   -0.34 eV/atom
Total DFT energy (no corrections)   -0.312 Ry/atom